First-principles (PBE) data for a relaxed BaCa2Pb4 crystal, as listed in the Alexandria database.

```
data_BaCa2Pb4
_chemical_formula_sum 'Ba2 Ca4 Pb8'
_cell_length_a 4.715
_cell_length_b 4.902
_cell_length_c 21.686
_cell_angle_alpha 90.00
_cell_angle_beta 90.00
_cell_angle_gamma 90.00
_symmetry_space_group_name_H-M 'I m m m'
_symmetry_Int_Tables_number 71
_symmetry_space_group_name_Hall '-I 2 2'
loop_
_atom_site_label
_atom_site_type_symbol
_atom_site_fract_x
_atom_site_fract_y
_atom_site_fract_z
Ba1 Ba 0.000 0.000 0.000
Ca1 Ca 0.000 0.500 0.318
Pb1 Pb 0.000 0.000 0.425
Pb2 Pb 0.000 0.500 0.167
```

First-principles (PBE) data for a relaxed PmPr12Nd7 crystal, as listed in the Alexandria database.

```
data_PmPr12Nd7
_chemical_formula_sum 'Pm2 Pr24 Nd14'
_cell_length_a 11.766
_cell_length_b 11.766
_cell_length_c 11.766
_cell_angle_alpha 90.00
_cell_angle_beta 90.00
_cell_angle_gamma 90.00
_symmetry_space_group_name_H-M 'I m -3'
_symmetry_Int_Tables_number 204
_symmetry_space_group_name_Hall '-I 2 2 3'
loop_
_atom_site_label
_atom_site_type_symbol
_atom_site_fract_x
_atom_site_fract_y
_atom_site_fract_z
Pm1 Pm 0.000 0.000 0.000
Pr1 Pr 0.000 0.249 0.250
Nd1 Nd 0.000 0.000 0.500
Nd2 Nd 0.250 0.250 0.250
```

# Sr2AsRuCl (PBE, relaxed)
data_Sr2AsRuCl
_chemical_formula_sum 'Sr2 As1 Ru1 Cl1'
_cell_length_a 6.019
_cell_length_b 6.019
_cell_length_c 4.519
_cell_angle_alpha 90.00
_cell_angle_beta 90.00
_cell_angle_gamma 90.00
_symmetry_space_group_name_H-M 'P 4/m m m'
_symmetry_Int_Tables_number 123
_symmetry_space_group_name_Hall '-P 4 2'
loop_
_atom_site_label
_atom_site_type_symbol
_atom_site_fract_x
_atom_site_fract_y
_atom_site_fract_z
Sr1 Sr 0.000 0.500 0.000
As1 As 0.000 0.000 0.000
Ru1 Ru 0.000 0.000 0.500
Cl1 Cl 0.500 0.500 0.500
# uncorrected formation energy	-297	kJ/mol of formula units

Result set for total magnetization: 0.000 0.005 0.174 μB/cell, one per record in the order listed.
Result set for VASP energy: -3.4085 -4.1868 -4.4426 eV per atom, one per record in the order listed.
Result set for N(E_F): 0.5836 1.4143 0.6262 states/eV per atom, one per record in the order listed.